Below is LiY2Os after structural relaxation, with properties calculated at the GGA-PBEsol level.

The structure in CIF format:
```
data_LiY2Os
_symmetry_space_group_name_H-M 'P 4/m m m'
_symmetry_Int_Tables_number 123
_symmetry_space_group_name_Hall '-P 4 2'
_cell_length_a 3.374
_cell_length_b 3.374
_cell_length_c 8.132
_cell_angle_alpha 90.00
_cell_angle_beta 90.00
_cell_angle_gamma 90.00
loop_
_atom_site_label
_atom_site_type_symbol
_atom_site_fract_x
_atom_site_fract_y
_atom_site_fract_z
Li1 Li 0.000 0.000 0.000
Y1 Y 0.500 0.500 0.299
Os1 Os 0.000 0.000 0.500
```

---

Below is LiY2Os after structural relaxation, with properties calculated at the GGA-PBEsol level.

The structure in CIF format:
```
data_LiY2Os
_symmetry_space_group_name_H-M 'F m -3 m'
_symmetry_Int_Tables_number 225
_symmetry_space_group_name_Hall '-F 4 2 3'
_cell_length_a 6.849
_cell_length_b 6.849
_cell_length_c 6.849
_cell_angle_alpha 90.00
_cell_angle_beta 90.00
_cell_angle_gamma 90.00
loop_
_atom_site_label
_atom_site_type_symbol
_atom_site_fract_x
_atom_site_fract_y
_atom_site_fract_z
Li1 Li 0.000 0.000 0.000
Y1 Y 0.250 0.250 0.250
Os1 Os 0.000 0.000 0.500
```

---

Number 1: formation energy from the elements -134 meV/atom. Number 2: formation energy from the elements -204 meV/atom.